A plane-wave DFT calculation with PBE was carried out for a relaxed ZrAu4Cl crystal.

Computed properties:
Formation energy (no corrections): -0.017 eV per atom

a b c (Å): 7.8503 7.8503 7.8503
angles (deg): 90.00 90.00 90.00
Space group F-43m (No. 216)
Inequivalent atoms, fractional coordinates:
Zr 0.0000 0.0000 0.0000 (multiplicity 4)
Au 0.1247 0.1247 0.6247 (multiplicity 16)
Cl 0.2500 0.2500 0.2500 (multiplicity 4)